12
Lattice="-4.021 0.923 0.936 -0.438 -6.854 4.875 4.864 6.053 5.365" Properties=species:S:1:pos:R:3 comment="TbSm2Th3As6, relaxed, DFT PBE" m_tot_mub_per_fu=0.000 e_form_mev_per_atom=-1477 dft_energy_ev_per_atom=-6.829 spacegroup=C2/m pbc="T T T"
Tb -2.010 0.461 0.468
Sm -0.399 0.236 7.610
Sm 0.804 -0.114 3.566
Th -2.229 -2.966 2.906
Th -0.183 3.658 5.165
Th 0.588 -3.536 6.012
As 1.510 -1.920 8.378
As -1.313 -1.359 5.255
As -1.105 2.042 2.799
As 0.735 5.290 7.500
As -0.330 -5.168 3.676
As 1.719 1.481 5.922

16
Lattice="-1.124 -0.801 6.170 -0.140 -4.711 -7.120 14.026 -3.575 2.090" Properties=species:S:1:pos:R:3 comment="Tb3Sm3Y2, relaxed, DFT PBE" m_tot_mub_per_fu=0.000 e_form_mev_per_atom=18 dft_energy_ev_per_atom=-5.104 spacegroup=Pmmn pbc="T T T"
Tb 6.327 -3.434 2.870
Tb -0.567 -3.869 -2.773
Tb 13.329 -5.219 3.913
Tb 6.435 -5.654 -1.730
Tb 2.929 -4.764 -2.224
Tb 9.833 -4.323 3.364
Sm 4.117 -5.612 1.122
Sm 12.146 -4.368 0.540
Sm 0.616 -4.720 0.601
Sm 8.645 -3.475 0.018
Sm 2.811 -2.543 2.370
Sm 9.952 -6.545 -1.230
Y 11.156 -7.397 2.129
Y 5.143 -2.592 -0.462
Y 7.619 -6.495 1.602
Y 1.606 -1.690 -0.989

8
Lattice="-2.141 -0.382 -4.814 4.701 -1.369 -1.982 -0.086 -7.171 -2.291" Properties=species:S:1:pos:R:3 comment="BaH2Pb, relaxed, DFT PBE" m_tot_mub_per_fu=0.000 dft_energy_ev_per_atom=-3.094 spacegroup=I-42d pbc="T T T"
Pb 0.000 0.000 0.000
Pb -0.473 -4.215 -5.252
H -0.867 -2.220 -4.044
H 2.745 -2.679 -2.198
H 0.686 -5.974 -4.178
H 2.386 -6.972 -7.753
Ba 1.280 -0.876 -3.398
Ba 2.948 -4.708 -3.836